VASP calculation (GGA-PBE) on CoSn2Br after structural relaxation.

a = 5.052 Å, b = 5.052 Å, c = 5.052 Å
α = 60.00°, β = 60.00°, γ = 60.00°
Site moments in Bohr magnetons follow the coordinates.
Fractional coordinates of all 4 atoms:
Sn  0.250  0.250  0.250  -0.06
Sn  0.750  0.750  0.750  -0.06
Co  0.000  0.000  0.000  1.46
Br  0.500  0.500  0.500  0.00

Computed properties:
spin magnetization = 0.31 μB/atom
density of states at the Fermi level = 10.76 states/eV/cell
E_tot = -14.609 eV per cell
excess energy over the best structure of this formula in the dataset = 379 meV per atom
raw formation energy = 2.175 eV per formula unit

***

VASP calculation (GGA-PBE) on CoSn2Br after structural relaxation.

a = 6.385 Å, b = 6.385 Å, c = 7.537 Å
α = 64.94°, β = 64.94°, γ = 90.00°
Fractional coordinates of all 8 atoms:
Co  0.250  0.750  0.500
Co  0.500  0.500  0.000
Sn  0.528  0.125  0.250
Sn  0.875  0.778  0.750
Sn  0.222  0.625  0.250
Sn  0.375  0.472  0.750
Br  0.000  0.000  0.000
Br  0.750  0.250  0.500

Computed properties:
spin magnetization = 0.00 μB/atom
density of states at the Fermi level = 2.82 states/eV/cell
E_tot = -32.253 eV per cell
excess energy over the best structure of this formula in the dataset = 0 meV per atom
raw formation energy = 0.658 eV per formula unit

***

VASP calculation (GGA-PBE) on CoSnBr4 after structural relaxation.

a = 3.969 Å, b = 7.223 Å, c = 7.188 Å
α = 101.73°, β = 90.01°, γ = 105.90°
Site moments in Bohr magnetons follow the coordinates.
Fractional coordinates of all 6 atoms:
Br  0.396  0.791  0.098  0.13
Br  0.604  0.209  0.901  0.13
Br  0.884  0.767  0.665  0.09
Br  0.116  0.233  0.335  0.09
Sn  0.500  0.000  0.500  0.04
Co  0.000  0.000  0.000  2.36

Computed properties:
spin magnetization = 0.50 μB/atom
density of states at the Fermi level = 6.28 states/eV/cell
E_tot = -20.644 eV per cell
raw formation energy = -2.844 eV per formula unit

***

VASP calculation (GGA-PBE) on Sr2CoSnBr after structural relaxation.

a = 6.338 Å, b = 4.792 Å, c = 6.338 Å
α = 90.00°, β = 90.00°, γ = 90.00°
Site moments in Bohr magnetons follow the coordinates.
Fractional coordinates of all 5 atoms:
Sr  0.500  0.000  0.000  0.01
Sr  0.000  0.000  0.500  0.01
Sn  0.000  0.000  0.000  0.00
Br  0.500  0.500  0.500  0.01
Co  0.000  0.500  0.000  1.67

Computed properties:
spin magnetization = 0.36 μB/atom
density of states at the Fermi level = 3.13 states/eV/cell
E_tot = -17.505 eV per cell
raw formation energy = -1.360 eV per formula unit

***

Look up the density of states at the Fermi level of the third one. 6.28 states/eV/cell